The following is a PBE calculation of a relaxed structure of Mg4CrOs, from Alexandria via LeMat-Bulk.

Results
For the total energy, the calculation gives -3.886 eV/atom. As for the mass density: 5.26 g cm⁻³. For the volume, the calculation gives 107 Å³ per cell. Its symmetry is F-43m, No. 216. The calculated formation energy comes out at 652 meV/atom.

a = 5.3299 Å, b = 5.3299 Å, c = 5.3299 Å
α = 60.00°, β = 60.00°, γ = 60.00°
Last column: nearest neighbours and their distance in Å.
Fractional positions:
Mg 0.1242 0.1242 0.1242  6 Mg 2.65-2.68
Mg 0.1242 0.1242 0.6273  6 Mg 2.65-2.68
Mg 0.1242 0.6273 0.1242  6 Mg 2.65-2.68
Mg 0.6273 0.1242 0.1242  6 Mg 2.65-2.68
Cr 0.5000 0.5000 0.5000  12 Mg 3.13, 4 Os 3.26
Os 0.7500 0.7500 0.7500  12 Mg 3.12, 4 Cr 3.26